Material: BaNa5Ag2
Method: DFT, GGA-PBE
State: optimized geometry

Cell lengths 4.7759, 7.8636, 7.8636 Å; angles 75.48, 72.32, 72.32 degrees
Closest atoms and distances in Å follow each position.
Positions (direct):
Ba 0.0000 0.0000 0.0000  4 Ag 3.53
Na 0.0000 0.5000 0.5000  2 Ag 3.14
Na 0.3366 0.8478 0.4791  3 Ag 3.12-3.23, 2 Na 3.35
Ag 0.7266 0.7734 0.7734  7 Na 3.12-3.23
Na 0.6634 0.5209 0.1522  3 Ag 3.12-3.23, 2 Na 3.35
Na 0.3366 0.4791 0.8478  3 Ag 3.12-3.23, 2 Na 3.35
Ag 0.2734 0.2266 0.2266  7 Na 3.12-3.23
Na 0.6634 0.1522 0.5209  3 Ag 3.12-3.23, 2 Na 3.35

Values from the calculation:
Crystal system ... orthorhombic



Material: Ba2NaNiAg
Method: DFT, GGA-PBE
State: optimized geometry

Cell lengths 6.0065, 6.0065, 5.0661 Å; angles 90.00, 90.00, 90.00 degrees
Closest atoms and distances in Å follow each position.
Positions (direct):
Ni 0.0000 0.0000 0.0000  2 Ag 2.53
Na 0.5000 0.5000 0.5000  8 Ba 3.93, 4 Ag 4.25
Ag 0.0000 0.0000 0.5000  2 Ni 2.53
Ba 0.5000 0.0000 0.0000  2 Ni 3.00
Ba 0.0000 0.5000 0.0000  2 Ni 3.00

Values from the calculation:
Crystal system ... tetragonal



Material: BaNa2AgPb
Method: DFT, GGA-PBE
State: optimized geometry

Cell lengths 5.5856, 5.5856, 5.6351 Å; angles 90.00, 90.00, 90.00 degrees
Closest atoms and distances in Å follow each position.
Positions (direct):
Na 0.0000 0.5000 0.0000  2 Ag 2.79
Ag 0.0000 0.0000 0.0000  4 Na 2.79, 2 Pb 2.82
Na 0.5000 0.0000 0.0000  2 Ag 2.79
Ba 0.5000 0.5000 0.5000  4 Pb 3.95, 8 Na 3.97
Pb 0.0000 0.0000 0.5000  2 Ag 2.82

Values from the calculation:
Crystal system ... tetragonal



| no. | ΔH_f (0 K) (eV per atom) |
| --- | --- |
| 1 | -0.059 |
| 2 | 0.042 |
| 3 | -0.074 |